# PBE Ag2Bi3O8, optimized geometry
data_Ag2Bi3O8
_symmetry_space_group_name_H-M 'R -3 m'
_symmetry_Int_Tables_number 166
_symmetry_space_group_name_Hall '-R 3 2"'
_cell_length_a 6.6312
_cell_length_b 6.6312
_cell_length_c 17.2039
_cell_angle_alpha 90.00
_cell_angle_beta 90.00
_cell_angle_gamma 120.00
loop_
_atom_site_label
_atom_site_type_symbol
_atom_site_fract_x
_atom_site_fract_y
_atom_site_fract_z
Ag1 Ag 0.0000 0.0000 0.0799
Bi1 Bi 0.0000 0.0000 0.3185
Bi2 Bi 0.0000 0.0000 0.5000
O1 O 0.0000 0.0000 0.2007
O2 O 0.0536 0.5268 0.2630
# Density of states at the Fermi level (states/eV/cell): 11.2
# Volume (Å³/atom): 16.80
# E_form (uncorrected) (kJ/mol of formula units): -454